Record 1
The following is a PBE calculation of crystalline YGaCoIr at its relaxed geometry, from the Open Quantum Materials Database.

Calculated values
Calculated volume ... 258.9 Å³ per cell
Distance to the lowest polymorph of the same formula ... 0 meV per atom
Spin magnetization ... 0.00 μB per atom
E ... -6.733 eV per atom

Unit cell a=6.3733 b=6.3733 c=6.3733 alpha=90.00 beta=90.00 gamma=90.00
Closest atoms and distances in Å follow each position.
Space group F-43m (No. 216)
Inequivalent atoms, fractional coordinates:
Y  0.0000  0.0000  0.0000  4 Co 2.76, 4 Ir 2.76
Ga  0.0000  0.0000  0.5000  4 Ir 2.76, 4 Co 2.76
Co  0.2500  0.2500  0.7500  4 Ga 2.76, 4 Y 2.76
Ir  0.2500  0.2500  0.2500  4 Y 2.76, 4 Ga 2.76


Record 2
The following is a PBE calculation of crystalline Gd3Cd3GaAg2 at its relaxed geometry, from the Open Quantum Materials Database.

Calculated values
Calculated volume ... 210.2 Å³ per cell
Spin magnetization ... 0.00 μB per atom
E ... -3.190 eV per atom

Unit cell a=7.5348 b=7.5348 c=4.2762 alpha=90.00 beta=90.00 gamma=120.00
Closest atoms and distances in Å follow each position.
Space group P-62m (No. 189)
Inequivalent atoms, fractional coordinates:
Gd  0.0000  0.5883  0.0000  1 Ga 3.10, 4 Ag 3.12, 6 Cd 3.35-3.45
Cd  0.0000  0.2457  0.5000  2 Ga 2.83, 2 Ag 2.90
Ga  0.0000  0.0000  0.0000  6 Cd 2.83, 3 Gd 3.10
Ag  0.3333  0.6667  0.5000  3 Cd 2.90, 6 Gd 3.12


Record 3
The following is a PBE calculation of crystalline KTmHgS3 at its relaxed geometry, from the Open Quantum Materials Database.

Calculated values
Calculated volume ... 322.8 Å³ per cell
Spin magnetization ... 0.00 μB per atom
E ... -4.263 eV per atom

Unit cell a=8.1592 b=4.0650 c=10.2402 alpha=90.00 beta=108.12 gamma=90.00
Closest atoms and distances in Å follow each position.
Space group P2_1/m (No. 11)
Inequivalent atoms, fractional coordinates:
K  0.2495  0.2500  0.2323  4 S 3.20-3.35
Tm  0.1778  0.7500  0.6309  5 S 2.62-2.77
Hg  0.4043  0.2500  0.8842  3 S 2.49-2.58
S  0.0412  0.7500  0.3629  3 Tm 2.62-2.72
S  0.2435  0.7500  0.9399  3 Hg 2.58-2.88
S  0.4117  0.2500  0.6426  1 Hg 2.49, 2 Tm 2.77


Record 4
The following is a PBE calculation of crystalline ScAlCuTc at its relaxed geometry, from the Open Quantum Materials Database.

Calculated values
Calculated volume ... 243.1 Å³ per cell
Distance to the lowest polymorph of the same formula ... 0 meV per atom
Spin magnetization ... 0.00 μB per atom
E ... -6.290 eV per atom

Unit cell a=6.2412 b=6.2412 c=6.2412 alpha=90.00 beta=90.00 gamma=90.00
Closest atoms and distances in Å follow each position.
Space group F-43m (No. 216)
Inequivalent atoms, fractional coordinates:
Sc  0.0000  0.0000  0.0000  4 Cu 2.70, 4 Tc 2.70
Al  0.0000  0.0000  0.5000  4 Tc 2.70, 4 Cu 2.70
Cu  0.2500  0.2500  0.7500  4 Al 2.70, 4 Sc 2.70
Tc  0.2500  0.2500  0.2500  4 Sc 2.70, 4 Al 2.70


Record 5
The following is a PBE calculation of crystalline RbLuZr at its relaxed geometry, from the Open Quantum Materials Database.

Calculated values
Calculated volume ... 416.2 Å³ per cell
Distance to the lowest polymorph of the same formula ... 313 meV per atom
Spin magnetization ... 0.01 μB per atom
E ... -2.844 eV per atom

Unit cell a=7.4664 b=7.4664 c=7.4664 alpha=90.00 beta=90.00 gamma=90.00
Closest atoms and distances in Å follow each position.
Space group F-43m (No. 216)
Inequivalent atoms, fractional coordinates:
Rb  0.0000  0.0000  0.0000  4 Zr 3.23, 4 Lu 3.23
Lu  0.2500  0.2500  0.7500  4 Rb 3.23
Zr  0.2500  0.2500  0.2500  4 Rb 3.23


Record 6
The following is a PBE calculation of crystalline Lu2Ta4In3N3 at its relaxed geometry, from the Open Quantum Materials Database.

Calculated values
Calculated volume ... 790.8 Å³ per cell
Spin magnetization ... 0.00 μB per atom
E ... -8.168 eV per atom

Unit cell a=9.7392 b=5.6713 c=14.6757 alpha=90.00 beta=102.68 gamma=90.00
Closest atoms and distances in Å follow each position.
Space group C2/c (No. 15)
Inequivalent atoms, fractional coordinates:
Lu  0.0470  0.0800  0.4009  3 N 2.30-2.39
Ta  0.1089  0.4174  0.5755  3 N 2.16-2.21
Ta  0.2244  0.4188  0.9244  3 N 2.17-2.21
In  0.0000  0.4750  0.2500  4 In 2.99-3.01, 4 Ta 3.04, 2 Lu 3.11
In  0.1978  0.1166  0.7510  4 In 2.99-3.01, 4 Ta 3.03-3.05, 2 Lu 3.09-3.11
N  0.0812  0.2417  0.0000  4 Ta 2.17-2.21, 2 Lu 2.30-2.31
N  0.2500  0.2500  0.5000  4 Ta 2.16-2.17, 2 Lu 2.39


Record 7
The following is a PBE calculation of crystalline BaNbCuNi at its relaxed geometry, from the Open Quantum Materials Database.

Calculated values
Calculated volume ... 295.4 Å³ per cell
Distance to the lowest polymorph of the same formula ... 132 meV per atom
Spin magnetization ... 0.00 μB per atom
E ... -4.402 eV per atom

Unit cell a=6.6601 b=6.6601 c=6.6601 alpha=90.00 beta=90.00 gamma=90.00
Closest atoms and distances in Å follow each position.
Space group F-43m (No. 216)
Inequivalent atoms, fractional coordinates:
Ba  0.0000  0.0000  0.0000  4 Nb 2.88, 4 Ni 2.88
Nb  0.2500  0.2500  0.2500  4 Ba 2.88, 4 Cu 2.88
Cu  0.0000  0.0000  0.5000  4 Nb 2.88, 4 Ni 2.88
Ni  0.2500  0.2500  0.7500  4 Ba 2.88, 4 Cu 2.88


Record 8
The following is a PBE calculation of crystalline SmBiNO at its relaxed geometry, from the Open Quantum Materials Database.

Calculated values
Calculated volume ... 167.5 Å³ per cell
Distance to the lowest polymorph of the same formula ... 104 meV per atom
Spin magnetization ... 0.00 μB per atom
E ... -6.661 eV per atom

Unit cell a=3.8950 b=6.6157 c=6.5011 alpha=90.00 beta=90.00 gamma=90.00
Closest atoms and distances in Å follow each position.
Space group Pmc2_1 (No. 26)
Inequivalent atoms, fractional coordinates:
Sm  0.0000  0.1950  0.0000  2 O 2.16-2.17, 2 N 2.35
Bi  0.5000  0.3230  0.5670  2 N 2.20-2.32
N  0.5000  0.3773  0.9202  2 Bi 2.20-2.32, 2 Sm 2.35
O  0.0000  0.0731  0.3084  2 Sm 2.16-2.17


Record 9
The following is a PBE calculation of crystalline PaTaSn at its relaxed geometry, from the Open Quantum Materials Database.

Calculated values
Calculated volume ... 304.7 Å³ per cell
Distance to the lowest polymorph of the same formula ... 0 meV per atom
Spin magnetization ... 0.00 μB per atom
E ... -8.025 eV per atom

Unit cell a=6.7292 b=6.7292 c=6.7292 alpha=90.00 beta=90.00 gamma=90.00
Closest atoms and distances in Å follow each position.
Space group F-43m (No. 216)
Inequivalent atoms, fractional coordinates:
Pa  0.0000  0.0000  0.0000  4 Ta 2.91
Ta  0.2500  0.2500  0.7500  4 Sn 2.91, 4 Pa 2.91
Sn  0.0000  0.0000  0.5000  4 Ta 2.91


Record 10
The following is a PBE calculation of crystalline P4Pt3 at its relaxed geometry, from the Open Quantum Materials Database.

Calculated values
Calculated volume ... 226.0 Å³ per cell
Spin magnetization ... 0.00 μB per atom
E ... -6.062 eV per atom

Unit cell a=11.6930 b=3.5961 c=5.9425 alpha=90.00 beta=115.26 gamma=90.00
Closest atoms and distances in Å follow each position.
Space group C2/m (No. 12)
Inequivalent atoms, fractional coordinates:
P  0.0842  0.0000  0.4487  1 P 2.30, 3 Pt 2.33-2.42
P  0.1461  0.5000  0.0084  5 Pt 2.37-2.64
Pt  0.0000  0.0000  0.0000  6 P 2.42-2.47
Pt  0.2066  0.5000  0.6755  3 P 2.33-2.37


Record 11
The following is a PBE calculation of crystalline Ho2Hf2Pd at its relaxed geometry, from the Open Quantum Materials Database.

Calculated values
Calculated volume ... 255.2 Å³ per cell
Spin magnetization ... 0.00 μB per atom
E ... -6.632 eV per atom

Unit cell a=3.8141 b=3.8141 c=17.5446 alpha=90.00 beta=90.00 gamma=90.00
Closest atoms and distances in Å follow each position.
Space group I4/mmm (No. 139)
Inequivalent atoms, fractional coordinates:
Ho  0.0000  0.0000  0.0891  4 Pd 3.12, 1 Ho 3.13, 4 Hf 3.41
Hf  0.0000  0.5000  0.2500  4 Hf 2.70
Pd  0.0000  0.0000  0.5000  8 Ho 3.12


Record 12
The following is a PBE calculation of crystalline LiPaGe at its relaxed geometry, from the Open Quantum Materials Database.

Calculated values
Calculated volume ... 301.8 Å³ per cell
Distance to the lowest polymorph of the same formula ... 447 meV per atom
Spin magnetization ... 0.66 μB per atom
E ... -4.851 eV per atom

Unit cell a=6.7077 b=6.7077 c=6.7077 alpha=90.00 beta=90.00 gamma=90.00
Closest atoms and distances in Å follow each position.
Space group F-43m (No. 216)
Inequivalent atoms, fractional coordinates:
Li  0.0000  0.0000  0.0000  4 Pa 2.90
Pa  0.2500  0.2500  0.7500  4 Ge 2.90, 4 Li 2.90
Ge  0.0000  0.0000  0.5000  4 Pa 2.90


Record 13
The following is a PBE calculation of crystalline NbBiN2O at its relaxed geometry, from the Open Quantum Materials Database.

Calculated values
Calculated volume ... 137.5 Å³ per cell
Spin magnetization ... 0.00 μB per atom
E ... -7.828 eV per atom

Unit cell a=3.9010 b=6.0375 c=5.8375 alpha=90.00 beta=90.00 gamma=90.00
Closest atoms and distances in Å follow each position.
Space group Pmc2_1 (No. 26)
Inequivalent atoms, fractional coordinates:
Nb  0.0000  0.1987  0.0000  4 N 1.90-2.12, 1 O 2.01
Bi  0.5000  0.3215  0.4623  4 N 2.34-2.55
N  0.0000  0.0754  0.3400  2 Nb 1.90-2.12
N  0.5000  0.2961  0.0632  2 Nb 2.07
O  0.0000  0.4224  0.7456  1 Nb 2.01


Record 14
The following is a PBE calculation of crystalline LuTlCdTe3 at its relaxed geometry, from the Open Quantum Materials Database.

Calculated values
Calculated volume ... 790.4 Å³ per cell
Distance to the lowest polymorph of the same formula ... 67 meV per atom
Spin magnetization ... 0.00 μB per atom
E ... -3.580 eV per atom

Unit cell a=12.5971 b=4.5252 c=13.8666 alpha=90.00 beta=90.00 gamma=90.00
Closest atoms and distances in Å follow each position.
Space group Pnma (No. 62)
Inequivalent atoms, fractional coordinates:
Lu  0.0185  0.2500  0.1939  5 Te 3.02-3.13
Tl  0.1814  0.2500  0.4876  7 Te 3.45-3.84, 2 Cd 3.60
Cd  0.2467  0.7500  0.2948  4 Te 2.83-2.88
Te  0.0268  0.7500  0.3495  1 Cd 2.87, 2 Lu 3.13
Te  0.0819  0.2500  0.9263  1 Cd 2.83, 2 Lu 3.08
Te  0.2434  0.7500  0.6666  2 Cd 2.88, 1 Lu 3.02


Record 15
The following is a PBE calculation of crystalline K2LiNbCl6 at its relaxed geometry, from the Open Quantum Materials Database.

Calculated values
Calculated volume ... 496.4 Å³ per cell
Distance to the lowest polymorph of the same formula ... 0 meV per atom
Spin magnetization ... 0.20 μB per atom
E ... -4.121 eV per atom

Unit cell a=6.9682 b=6.9682 c=10.2235 alpha=90.00 beta=90.00 gamma=90.00
Closest atoms and distances in Å follow each position.
Space group I4/m (No. 87)
Inequivalent atoms, fractional coordinates:
K  0.0000  0.5000  0.2500  8 Cl 3.22-3.48
Li  0.0000  0.0000  0.0000  6 Cl 2.54-2.61
Nb  0.0000  0.0000  0.5000  6 Cl 2.50-2.51
Cl  0.0000  0.0000  0.2549  1 Nb 2.51, 1 Li 2.61
Cl  0.1961  0.7003  0.5000  1 Nb 2.50, 1 Li 2.54


Record 16
The following is a PBE calculation of crystalline TmAsNO at its relaxed geometry, from the Open Quantum Materials Database.

Calculated values
Calculated volume ... 233.7 Å³ per cell
Distance to the lowest polymorph of the same formula ... 0 meV per atom
Spin magnetization ... 0.00 μB per atom
E ... -7.143 eV per atom

Unit cell a=5.2644 b=7.6923 c=5.7703 alpha=90.00 beta=90.00 gamma=90.00
Closest atoms and distances in Å follow each position.
Space group Pca2_1 (No. 29)
Inequivalent atoms, fractional coordinates:
Tm  0.0099  0.1347  0.0000  4 O 2.19-2.24, 1 N 2.30
As  0.0317  0.3809  0.5365  2 N 1.84-1.86
N  0.1801  0.5970  0.5362  2 As 1.84-1.86
O  0.2477  0.9858  0.2496  4 Tm 2.19-2.24


Record 17
The following is a PBE calculation of crystalline Ho2Si2O5 at its relaxed geometry, from the Open Quantum Materials Database.

Calculated values
Calculated volume ... 113.1 Å³ per cell
Distance to the lowest polymorph of the same formula ... 236 meV per atom
Spin magnetization ... 0.00 μB per atom
E ... -6.913 eV per atom

Unit cell a=3.4721 b=3.4721 c=9.3825 alpha=90.00 beta=90.00 gamma=90.00
Closest atoms and distances in Å follow each position.
Space group P4/mmm (No. 123)
Inequivalent atoms, fractional coordinates:
Ho  0.0000  0.0000  0.2445  5 O 2.15-2.29
Si  0.5000  0.5000  0.0000  4 O 2.46
Si  0.5000  0.5000  0.5000  8 O 2.07
O  0.0000  0.0000  0.0000  2 Ho 2.29, 4 Si 2.46
O  0.0000  0.5000  0.3796  2 Si 2.07, 2 Ho 2.15, 1 O 2.26


Record 18
The following is a PBE calculation of crystalline Sc4FeBiC2 at its relaxed geometry, from the Open Quantum Materials Database.

Calculated values
Calculated volume ... 138.6 Å³ per cell
Spin magnetization ... 0.20 μB per atom
E ... -7.362 eV per atom

Unit cell a=3.3722 b=3.3722 c=14.0727 alpha=90.00 beta=90.00 gamma=120.00
Closest atoms and distances in Å follow each position.
Space group P-6m2 (No. 187)
Inequivalent atoms, fractional coordinates:
Sc  0.0000  0.0000  0.1431  3 C 2.34
Sc  0.6667  0.3333  0.3153  3 C 2.25
Fe  0.6667  0.3333  0.0000  6 Sc 2.80
Bi  0.0000  0.0000  0.5000  6 Sc 3.25, 6 Bi 3.37
C  0.3333  0.6667  0.2351  6 Sc 2.25-2.34


Record 19
The following is a PBE calculation of crystalline Tb2CoCu at its relaxed geometry, from the Open Quantum Materials Database.

Calculated values
Calculated volume ... 164.4 Å³ per cell
Spin magnetization ... 0.00 μB per atom
E ... -5.241 eV per atom

Unit cell a=5.5142 b=4.1890 c=7.6009 alpha=90.00 beta=110.52 gamma=90.00
Closest atoms and distances in Å follow each position.
Space group P2_1/m (No. 11)
Inequivalent atoms, fractional coordinates:
Tb  0.2144  0.2500  0.4359  3 Cu 2.87-2.96, 4 Co 2.90-2.97
Tb  0.2259  0.2500  0.9245  4 Cu 2.85-3.01, 3 Co 2.87
Co  0.3611  0.7500  0.7174  2 Cu 2.55
Cu  0.3569  0.7500  0.2154  2 Co 2.55, 1 Tb 2.85


Record 20
The following is a PBE calculation of crystalline TbGdZn6 at its relaxed geometry, from the Open Quantum Materials Database.

Calculated values
Calculated volume ... 150.7 Å³ per cell
Spin magnetization ... 0.00 μB per atom
E ... -2.431 eV per atom

Unit cell a=6.2762 b=6.2762 c=4.4182 alpha=90.00 beta=90.00 gamma=120.00
Closest atoms and distances in Å follow each position.
Space group P-6m2 (No. 187)
Inequivalent atoms, fractional coordinates:
Tb  0.0000  0.0000  0.0000  12 Zn 2.98-3.14
Gd  0.6667  0.3333  0.5000  12 Zn 2.98-3.14
Zn  0.0360  0.5180  0.0000  6 Zn 2.74-2.80, 2 Gd 2.98
Zn  0.1838  0.3676  0.5000  6 Zn 2.74-2.82, 2 Tb 2.98